DFT (PBE) results for crystalline K2Cd at its relaxed geometry.

a = 5.6180 Å, b = 9.0815 Å, c = 11.4668 Å
α = 90.00°, β = 90.00°, γ = 90.00°
Element x y z (fractional)
Cd: 0.2500 0.2466 0.1268
Cd: 0.2500 0.7466 0.3732
Cd: 0.7500 0.2534 0.6268
Cd: 0.7500 0.7534 0.8732
K: 0.7500 0.3468 0.9358
K: 0.7500 0.4668 0.3222
K: 0.2500 0.0332 0.8222
K: 0.2500 0.1532 0.4358
K: 0.7500 0.9668 0.1778
K: 0.7500 0.8468 0.5642
K: 0.2500 0.6532 0.0642
K: 0.2500 0.5332 0.6778

Energy relative to the elements   -0.01 eV per atom
Energy above the most stable polymorph in this dataset   0.0196 eV per atom
Crystal system   orthorhombic
Calculated density   2.2 g/cm3
Space-group type   Pnma